A plane-wave DFT calculation with GGA+U was carried out for crystalline TaFeO3 at its relaxed geometry.

Unit cell a=3.943 b=3.943 c=3.943 alpha=90.00 beta=90.00 gamma=90.00
Element x y z (fractional)
Ta 0.000 0.000 0.000
Fe 0.500 0.500 0.500
O 0.000 0.000 0.500
O 0.000 0.500 0.000
O 0.500 0.000 0.000

Properties
For the total energy, the calculation gives -8.2766 eV/atom. The density comes out at 7.7 g cm⁻³.